Material: Zn2SiOs
Method: DFT, GGA-PBE
State: relaxed

Cell: 2.739 4.908 4.276 Å, 90.00 91.92 90.00°
Fractional coordinates of all 4 atoms:
Zn 0.247 0.000 0.250
Zn 0.753 0.000 0.750
Si 0.000 0.500 0.000
Os 0.500 0.500 0.500

Summary:
formation energy (no corrections): 0.1326 eV per atom
DOS(E_F): 1.718 states/eV per cell